[1]
PBE MgNiBr, optimized geometry; V = 18.85 A^3/atom; DFT total energy = -9.2 eV per cell; calculated density = 4783 kg/m³; crystal system = trigonal; energy above the lowest structure with this stoichiometry = 0.0 meV/atom
1.0
3.393 0.000 0.000
-1.697 2.939 0.000
0.000 0.000 5.672
Mg Ni Br
1 1 1
direct
0.000 0.000 0.000
0.667 0.333 0.313
0.333 0.667 0.642

[2]
PBE Ba2CoAg, optimized geometry; V = 31.13 A^3/atom; DFT total energy = -12.9 eV per cell; DFT formation energy = 0.232 eV per atom; calculated density = 5887 kg/m³; crystal system = orthorhombic; energy above the lowest structure with this stoichiometry = 77.1 meV/atom
1.0
3.903 0.000 0.000
0.000 3.924 0.000
0.000 0.000 8.129
Ba Co Ag
2 1 1
direct
0.000 0.000 0.228
0.000 0.000 0.772
0.500 0.500 0.000
0.500 0.500 0.500

[3]
PBE RbMnI2Cl, optimized geometry; V = 34.95 A^3/atom; DFT total energy = -20.1 eV per cell; calculated density = 4083 kg/m³; crystal system = tetragonal; energy above the lowest structure with this stoichiometry = 3.9 meV/atom
1.0
5.932 0.000 0.000
0.000 5.932 0.000
0.000 0.000 4.967
Rb Mn I Cl
1 1 2 1
direct
0.000 0.000 0.000
0.500 0.500 0.500
0.000 0.500 0.500
0.500 0.000 0.500
0.500 0.500 0.000

> The highest energy above the lowest structure with this stoichiometry belongs to which entry?

Ba2CoAg

> What is the V in the third record?

34.95 A^3/atom

Please write out number 1 again, unchanged.
PBE MgNiBr, optimized geometry; V = 18.85 A^3/atom; DFT total energy = -9.2 eV per cell; calculated density = 4783 kg/m³; crystal system = trigonal; energy above the lowest structure with this stoichiometry = 0.0 meV/atom
1.0
3.393 0.000 0.000
-1.697 2.939 0.000
0.000 0.000 5.672
Mg Ni Br
1 1 1
direct
0.000 0.000 0.000
0.667 0.333 0.313
0.333 0.667 0.642